# Ni3RhBr

An optimized crystal structure of Ni3RhBr (PBE-GGA, the Alexandria database).

Computed properties:
As for the uncorrected formation energy: 1.16 eV/atom. As for the magnetization: 4.0 μB per formula unit. The distance to the lowest polymorph of the same formula comes out at 132 meV/atom.

Cell lengths 4.611, 4.611, 4.611 Å; angles 90.00, 90.00, 90.00 degrees
Fractional positions:
1 Ni 0.000 0.000 0.500
2 Ni 0.000 0.500 0.000
3 Ni 0.500 0.000 0.000
4 Rh 0.000 0.000 0.000
5 Br 0.500 0.500 0.500